Entry 1:
## Ti3Re4Mo (GGA-PBE)

Data for a geometry-optimized Ti3Re4Mo structure.

Summary:
Mass density: 13.4 g/cm³
Total magnetization: 0.00 Bohr magnetons per cell
Density of states at the Fermi level: 6.2 states/eV/cell
Calculated formation energy: -0.346 eV per atom
Total energy: -87.07 eV for the cell shown

```
data_Ti3Re4Mo
_cell_length_a 3.1208
_cell_length_b 3.1208
_cell_length_c 12.4981
_cell_angle_alpha 90.00
_cell_angle_beta 90.00
_cell_angle_gamma 90.00
_symmetry_space_group_name_H-M 'P 4/m m m'
_symmetry_Int_Tables_number 123
_symmetry_space_group_name_Hall '-P 4 2'
loop_
_atom_site_label
_atom_site_type_symbol
_atom_site_fract_x
_atom_site_fract_y
_atom_site_fract_z
Ti1 Ti 0.0000 0.0000 0.0000
Ti2 Ti 0.0000 0.0000 0.2473
Re1 Re 0.5000 0.5000 0.1254
Re2 Re 0.5000 0.5000 0.3754
Mo1 Mo 0.0000 0.0000 0.5000
```

=====

Entry 2:
## TiRe2Mo (GGA-PBE)

Data for a geometry-optimized TiRe2Mo structure.

Summary:
Mass density: 14.1 g/cm³
Total magnetization: 0.00 Bohr magnetons per cell
Density of states at the Fermi level: 3.6 states/eV/cell
Calculated formation energy: -0.288 eV per atom
Total energy: -179.10 eV for the cell shown
ΔE to the lowest computed polymorph: 0 meV per atom

```
data_TiRe2Mo
_cell_length_a 6.2485
_cell_length_b 6.2485
_cell_length_c 6.2485
_cell_angle_alpha 90.00
_cell_angle_beta 90.00
_cell_angle_gamma 90.00
_symmetry_space_group_name_H-M 'F m -3 m'
_symmetry_Int_Tables_number 225
_symmetry_space_group_name_Hall '-F 4 2 3'
loop_
_atom_site_label
_atom_site_type_symbol
_atom_site_fract_x
_atom_site_fract_y
_atom_site_fract_z
Ti1 Ti 0.0000 0.0000 0.0000
Re1 Re 0.2500 0.2500 0.2500
Mo1 Mo 0.0000 0.0000 0.5000
```

=====

Entry 3:
## Ti2Re4Mo (GGA-PBE)

Data for a geometry-optimized Ti2Re4Mo structure.

Summary:
Mass density: 13.5 g/cm³
Total magnetization: 0.00 Bohr magnetons per cell
Density of states at the Fermi level: 14.8 states/eV/cell
Calculated formation energy: 0.279 eV per atom
Total energy: -148.93 eV for the cell shown

```
data_Ti2Re4Mo
_cell_length_a 6.1150
_cell_length_b 6.1150
_cell_length_c 6.1505
_cell_angle_alpha 90.00
_cell_angle_beta 90.00
_cell_angle_gamma 90.00
_symmetry_space_group_name_H-M 'I 4/m m m'
_symmetry_Int_Tables_number 139
_symmetry_space_group_name_Hall '-I 4 2'
loop_
_atom_site_label
_atom_site_type_symbol
_atom_site_fract_x
_atom_site_fract_y
_atom_site_fract_z
Ti1 Ti 0.0000 0.5000 0.0000
Re1 Re 0.2500 0.2500 0.2500
Mo1 Mo 0.0000 0.0000 0.0000
```